DFT (GGA-PBE) results for a relaxed Mg2MnCo crystal.

abc: 3.902 3.899 4.057
angles: 90.00 90.00 90.00
Fractional coordinates of all 4 atoms:
1 Co 0.000 0.500 0.500
2 Mg 0.000 0.000 0.000
3 Mg 0.500 0.500 0.000
4 Mn 0.500 0.000 0.500

Values from the calculation:
calculated volume	62	Å³ per cell
M_tot	4.4	μB/f.u.
symmetry	No. 123
ΔE_f	0.2157	eV per atom
ΔE to the lowest computed polymorph	0.53	eV/f.u.